VASP calculation (GGA+U) on crystalline BaNpFe2O6 at its relaxed geometry.

Lattice parameters (Å, degrees): 5.6157 5.8438 5.9702 64.80 64.79 60.89
Last column: nearest neighbours and their distance in Å.
Atoms (fractional coordinates):
Ba: 0.8057 0.8052 0.6068  5 O 2.55-2.86
Np: 0.3224 0.3227 0.0342  6 O 2.00-2.24
Fe: 0.5218 0.5668 0.3995  4 O 2.04-2.13
Fe: 0.0594 0.9772 0.9571  4 O 2.02-2.11
O: 0.5264 0.3039 0.2560  1 Np 2.03, 1 Fe 2.04
O: 0.2498 0.9307 0.2150  2 Fe 2.08-2.09, 1 Np 2.24
O: 0.9274 0.5846 0.2085  1 Fe 2.10, 1 Np 2.11
O: 0.3550 0.6978 0.7375  2 Fe 2.11-2.13, 1 Np 2.19
O: 0.7246 0.1490 0.8138  1 Fe 2.02, 1 Np 2.06
O: 0.1691 0.3237 0.7868  1 Np 2.00, 1 Fe 2.11

Properties
Uncorrected energy: -78.1 eV for the cell shown